Computed, not measured: Ac6Si2SbBr3 after structural relaxation at the PBE level of DFT.

Cell: 20.0857 4.6354 9.2327 Å, 90.00 101.75 90.00°
Space group C2/m (No. 12)
Inequivalent atoms, fractional coordinates:
Ac1 0.0136 0.0000 0.2556
Ac2 0.1691 0.5000 0.1154
Ac3 0.1742 0.5000 0.5662
Si1 0.1684 0.0000 0.3358
Sb1 0.0000 0.5000 0.0000
Br1 0.0000 0.5000 0.5000
Br2 0.1626 0.0000 0.8337

E_form (uncorrected) = -1.122 eV per atom
Total magnetization = 0.00 μB per cell